(1)
AuS2N: optimized geometry, PBEsol.

a = 4.9435 Å, b = 4.9435 Å, c = 6.3996 Å
α = 112.72°, β = 112.72°, γ = 90.00°
Closest atoms and distances in Å follow each position.
Positions (direct):
1 S 0.6250 0.5416 0.7500  2 N 2.00
2 S 0.7916 0.3750 0.2500  2 N 2.00
3 S 0.4584 0.8750 0.2500  2 N 2.00
4 S 0.1250 0.2084 0.7500  2 N 2.00
5 Au 0.2500 0.7500 0.5000  4 S 2.46
6 Au 0.0000 0.0000 0.0000  4 S 2.46
7 N 0.7500 0.2500 0.5000  4 S 2.00
8 N 0.5000 0.5000 0.0000  4 S 2.00

spin magnetization	0.00	μB per formula unit
calculated volume	66	Å³/f.u.
formation energy (no corrections)	0.91	eV/atom

***

(2)
AuSN2: optimized geometry, PBEsol.

a = 2.9073 Å, b = 2.9073 Å, c = 6.2794 Å
α = 76.61°, β = 76.61°, γ = 60.00°
Closest atoms and distances in Å follow each position.
Positions (direct):
1 N 0.1121 0.1121 0.6636  3 S 1.95, 1 Au 2.04
2 N 0.8879 0.8879 0.3364  3 S 1.95, 1 Au 2.04
3 Au 0.0000 0.0000 0.0000  2 N 2.04
4 S 0.5000 0.5000 0.5000  6 N 1.95

spin magnetization	0.00	μB per formula unit
calculated volume	44	Å³/f.u.
formation energy (no corrections)	0.96	eV/atom

***

(3)
SbAuS2N: optimized geometry, PBEsol.

a = 3.7595 Å, b = 4.9463 Å, c = 4.9463 Å
α = 90.00°, β = 90.00°, γ = 90.00°
Closest atoms and distances in Å follow each position.
Positions (direct):
1 S 0.0000 0.5000 0.0000  2 Au 2.47
2 S 0.0000 0.0000 0.5000  2 Au 2.47
3 N 0.5000 0.0000 0.0000  2 Au 1.88
4 Sb 0.5000 0.5000 0.5000  8 S 3.11
5 Au 0.0000 0.0000 0.0000  2 N 1.88

spin magnetization	0.00	μB per formula unit
calculated volume	92	Å³/f.u.
formation energy (no corrections)	0.85	eV/atom